# 1
Below is crystalline TlNi2Rh at its relaxed geometry, with properties calculated at the PBE level.

Cell: 3.143 3.122 5.978 Å, 90.00 90.00 90.00°
Last column: magnetic moment on the atom in μB.
Atoms (fractional coordinates):
Ni (0.000, 0.000, 0.036)  0.21
Tl (0.500, 0.500, 0.764)  -0.01
Rh (0.000, 0.000, 0.463)  0.29
Ni (0.500, 0.500, 0.237)  0.64

Values from the calculation:
ΔE to the lowest computed polymorph = 20 meV per atom
ΔH_f (0 K) = 216 meV/atom
Total moment = 1.090 μB/cell

# 2
Below is crystalline Li5NpPd6 at its relaxed geometry, with properties calculated at the PBE level.

Cell: 4.177 6.995 7.427 Å, 61.91 73.61 90.00°
Last column: magnetic moment on the atom in μB.
Atoms (fractional coordinates):
Li (0.679, 0.178, 0.644)  0.00
Li (0.669, 0.670, 0.661)  0.00
Pd (0.831, 0.082, 0.339)  -0.03
Pd (0.169, 0.918, 0.661)  -0.03
Pd (0.169, 0.421, 0.661)  -0.03
Pd (0.831, 0.579, 0.339)  -0.03
Pd (0.500, 0.264, 0.000)  -0.05
Li (0.321, 0.822, 0.356)  0.00
Li (0.331, 0.330, 0.339)  0.00
Li (0.000, 0.500, 0.000)  0.00
Np (0.000, 0.000, 0.000)  3.30
Pd (0.500, 0.736, 0.000)  -0.05

Values from the calculation:
ΔH_f (0 K) = -399 meV/atom
Total moment = 3.301 μB/cell

# 3
Below is crystalline CaZnP2Cl at its relaxed geometry, with properties calculated at the PBE level.

Cell: 4.539 4.539 5.589 Å, 90.00 90.00 90.00°
Atoms (fractional coordinates):
Ca (0.500, 0.500, 0.500)
P (0.500, 0.000, 0.000)
Zn (0.000, 0.000, 0.000)
Cl (0.000, 0.000, 0.500)
P (0.000, 0.500, 0.000)

Values from the calculation:
Formation energy (no corrections) = -0.255 eV/atom
ΔE to the lowest computed polymorph = 0 meV per atom
Total moment = 0.195 μB/cell

# 4
Below is crystalline Pr6Sm3HoEr2 at its relaxed geometry, with properties calculated at the PBE level.

Cell: 6.332 6.332 11.960 Å, 95.05 95.05 120.01°
Atoms (fractional coordinates):
Sm (0.500, 0.500, 0.500)
Pr (0.416, 0.083, 0.247)
Sm (0.833, 0.167, 0.500)
Er (0.333, 0.667, 0.000)
Pr (0.749, 0.749, 0.247)
Sm (0.167, 0.833, 0.500)
Pr (0.251, 0.251, 0.753)
Pr (0.917, 0.584, 0.753)
Pr (0.083, 0.416, 0.247)
Pr (0.584, 0.917, 0.753)
Er (0.667, 0.333, 0.000)
Ho (0.000, 0.000, 0.000)

Values from the calculation:
ΔH_f (0 K) = 13 meV/atom
Total moment = 0.000 μB/cell

# 5
Below is crystalline HfBe3Fe at its relaxed geometry, with properties calculated at the PBE level.

Cell: 4.798 5.255 5.257 Å, 119.99 90.00 90.00°
Last column: magnetic moment on the atom in μB.
Atoms (fractional coordinates):
Be (0.250, 0.803, 0.607)  -0.03
Be (0.750, 0.197, 0.393)  -0.03
Hf (0.250, 0.334, 0.667)  -0.10
Be (0.250, 0.393, 0.197)  -0.03
Fe (0.000, 0.000, 0.000)  1.20
Be (0.250, 0.804, 0.197)  -0.03
Be (0.750, 0.607, 0.803)  -0.03
Fe (0.500, 0.000, 0.000)  1.20
Hf (0.750, 0.666, 0.333)  -0.10
Be (0.750, 0.196, 0.803)  -0.03

Values from the calculation:
ΔE to the lowest computed polymorph = 0 meV per atom
ΔH_f (0 K) = -95 meV/atom
Total moment = 1.849 μB/cell

# 6
Below is crystalline TlReMo at its relaxed geometry, with properties calculated at the PBE level.

Cell: 2.980 2.980 7.016 Å, 90.00 90.00 120.00°
Atoms (fractional coordinates):
Mo (0.000, 0.000, 0.026)
Re (0.667, 0.333, 0.308)
Tl (0.333, 0.667, 0.666)

Values from the calculation:
ΔE to the lowest computed polymorph = 75 meV per atom
ΔH_f (0 K) = 614 meV/atom
Total moment = 0.000 μB/cell

# 7
Below is crystalline U2CuNi9 at its relaxed geometry, with properties calculated at the PBE level.

Cell: 3.808 3.808 10.780 Å, 90.00 90.00 90.00°
Last column: magnetic moment on the atom in μB.
Atoms (fractional coordinates):
Ni (0.500, 0.000, 0.846)  -0.05
Ni (0.000, 0.500, 0.846)  -0.05
Ni (0.500, 0.500, 0.672)  -0.03
U (0.000, 0.000, 0.316)  0.89
Cu (0.000, 0.000, 0.000)  -0.02
Ni (0.500, 0.500, 0.000)  -0.10
Ni (0.500, 0.000, 0.500)  -0.03
Ni (0.500, 0.500, 0.328)  -0.03
Ni (0.000, 0.500, 0.154)  -0.05
Ni (0.500, 0.000, 0.154)  -0.05
U (0.000, 0.000, 0.684)  0.89
Ni (0.000, 0.500, 0.500)  -0.03

Values from the calculation:
ΔE to the lowest computed polymorph = 0 meV per atom
ΔH_f (0 K) = -122 meV/atom
Total moment = 1.454 μB/cell

# 8
Below is crystalline SiPbCl2 at its relaxed geometry, with properties calculated at the PBE level.

Cell: 3.556 3.556 8.100 Å, 90.00 90.00 90.00°
Atoms (fractional coordinates):
Cl (0.500, 0.500, 0.307)
Cl (0.000, 0.000, 0.916)
Pb (0.000, 0.000, 0.520)
Si (0.500, 0.500, 0.757)

Values from the calculation:
Formation energy (no corrections) = -0.100 eV/atom
ΔE to the lowest computed polymorph = 283 meV per atom
Total moment = 0.000 μB/cell